(1)
The following is a DFT calculation (PBE) of a geometry-optimized CeHoHgGe structure.

```
4
Lattice="-3.6572 -0.7333 3.6316 1.3780 -1.1482 4.8871 -0.6536 3.5160 3.7831" Properties=species:S:1:pos:R:3 pbc="T T T"
Ge -0.7332 0.4086 3.0755
Hg -2.1996 1.2258 9.2264
Ce 0.0000 0.0000 0.0000
Ho -1.4664 0.8172 6.1509
```

## Properties
Energy of formation from the pure elements   -0.49 eV per atom
Space-group type   No. 216
N(E_F)   2.206 states/eV per atom

***

(2)
The following is a DFT calculation (PBE) of a geometry-optimized Ce2InHgGe structure.

```
10
Lattice="-2.7494 3.2321 -1.2609 -3.1358 -1.6269 2.6674 4.7574 8.1737 10.5782" Properties=species:S:1:pos:R:3 pbc="T T T"
Ce 1.7291 4.8510 8.6646
Ce -1.0624 0.0550 2.4577
Ce 2.8772 8.9212 8.8238
Ce 0.0857 4.1252 2.6169
In 2.3787 4.0868 5.2891
In -0.5639 4.8894 5.9924
Hg 1.7194 6.9320 6.2494
Hg 0.0954 2.0442 5.0321
Ge -0.8804 2.4653 0.4686
Ge 2.6952 6.5110 10.8129
```

## Properties
Energy of formation from the pure elements   -0.41 eV per atom
Space-group type   No. 129
N(E_F)   2.261 states/eV per atom

***

(3)
The following is a DFT calculation (PBE) of a geometry-optimized LiCeHgGe structure.

```
4
Lattice="5.0280 0.0000 0.0000 2.5140 4.3544 0.0000 2.5140 1.4515 4.1054" Properties=species:S:1:pos:R:3 pbc="T T T"
Ge 2.5140 1.4515 1.0263
Hg 7.5420 4.3544 3.0790
Ce 5.0280 2.9029 2.0527
Li 0.0000 0.0000 0.0000
```

## Properties
Energy of formation from the pure elements   -0.45 eV per atom
Space-group type   No. 216
N(E_F)   1.432 states/eV per atom

***

(4)
The following is a DFT calculation (PBE) of a geometry-optimized CeLuHgGe structure.

```
4
Lattice="-3.5711 -3.7340 0.2244 -0.7895 -3.0718 -4.0849 1.4528 -4.9602 0.1756" Properties=species:S:1:pos:R:3 pbc="T T T"
Ge -0.7269 -2.9415 -0.9212
Lu 0.0000 0.0000 0.0000
Hg -2.1808 -8.8245 -2.7636
Ce -1.4539 -5.8830 -1.8424
```

## Properties
Energy of formation from the pure elements   -0.47 eV per atom
Space-group type   No. 216
N(E_F)   2.079 states/eV per atom

***

(5)
The following is a DFT calculation (PBE) of a geometry-optimized CePaHgGe structure.

```
4
Lattice="5.2080 0.0000 0.0000 2.6040 4.5103 0.0000 2.6040 1.5034 4.2523" Properties=species:S:1:pos:R:3 pbc="T T T"
Ge 2.6040 1.5034 1.0631
Pa 0.0000 0.0000 0.0000
Hg 7.8120 4.5103 3.1892
Ce 5.2080 3.0069 2.1262
```

## Properties
Energy of formation from the pure elements   -0.16 eV per atom
Space-group type   No. 216
N(E_F)   3.216 states/eV per atom

***

(6)
The following is a DFT calculation (PBE) of a geometry-optimized Ce5HgGe2Pb structure.

```
18
Lattice="7.8891 0.0000 0.0000 0.0000 7.8891 0.0000 -3.9446 -3.9446 8.0318" Properties=species:S:1:pos:R:3 pbc="T T T"
Ce 6.3268 2.3822 2.0275
Ce 2.3822 -1.5623 6.0043
Ce -2.3822 1.5623 6.0043
Ce -1.5623 -2.3822 6.0043
Ce 1.5623 2.3822 6.0043
Ce 5.5069 6.3268 2.0275
Ce 2.3822 1.5623 2.0275
Ce 1.5623 5.5069 2.0275
Ce 3.9446 3.9446 0.0000
Ce 0.0000 0.0000 0.0000
Hg 0.0000 3.9446 4.0159
Hg 3.9446 0.0000 4.0159
Ge 0.8874 3.0571 0.0000
Ge 4.8320 0.8874 0.0000
Ge 3.0571 7.0017 0.0000
Ge 7.0017 4.8320 0.0000
Pb 0.0000 0.0000 4.0159
Pb 3.9446 3.9446 4.0159
```

## Properties
Energy of formation from the pure elements   -0.45 eV per atom
Space-group type   No. 140
N(E_F)   2.695 states/eV per atom

***

(7)
The following is a DFT calculation (PBE) of a geometry-optimized Ce2HgGe4Pd3 structure.

```
10
Lattice="4.3655 0.0000 0.0000 0.0000 4.3655 0.0000 0.0000 0.0000 10.4899" Properties=species:S:1:pos:R:3 pbc="T T T"
Ce 2.1827 0.0000 2.5221
Ce 0.0000 2.1827 7.9679
Hg 2.1827 2.1827 5.2450
Ge 2.1827 2.1827 0.0000
Ge 0.0000 0.0000 0.0000
Ge 2.1827 0.0000 6.7934
Ge 0.0000 2.1827 3.6965
Pd 0.0000 0.0000 5.2450
Pd 2.1827 0.0000 9.2261
Pd 0.0000 2.1827 1.2638
```

## Properties
Energy of formation from the pure elements   -0.64 eV per atom
Space-group type   No. 115
N(E_F)   1.390 states/eV per atom

***

(8)
The following is a DFT calculation (PBE) of a geometry-optimized Ce2HgGe3Pd4 structure.

```
10
Lattice="-1.3638 -3.1412 2.5209 1.8005 -2.8562 -2.5850 9.3515 0.6188 5.8300" Properties=species:S:1:pos:R:3 pbc="T T T"
Ce 1.6003 -1.4196 2.6832
Ce 7.9696 -0.9603 3.1147
Hg 4.8941 -2.6893 2.8830
Ge 4.6758 0.3094 2.9150
Ge 7.5136 -1.0283 6.3697
Ge 2.0563 -1.3516 -0.5718
Pd 0.2184 -2.9987 -0.0320
Pd 0.0000 0.0000 0.0000
Pd 5.4541 -1.1646 5.0858
Pd 4.1158 -1.2153 0.7122
```

## Properties
Energy of formation from the pure elements   -0.66 eV per atom
Space-group type   No. 115
N(E_F)   1.534 states/eV per atom

***

(9)
The following is a DFT calculation (PBE) of a geometry-optimized Ce2HgGe4Pt3 structure.

```
10
Lattice="-0.3283 -4.2024 1.2792 3.1745 -1.1136 -2.8437 7.1114 1.6627 7.2875" Properties=species:S:1:pos:R:3 pbc="T T T"
Ce 1.5573 -1.6987 2.4037
Ce 6.9771 0.7034 4.1015
Hg 4.9788 -1.8267 2.8615
Ge 1.4231 -2.6580 -0.7823
Ge 0.0000 0.0000 0.0000
Ge 4.4232 -1.0287 5.3405
Ge 4.1113 0.0333 1.1647
Pt 3.5557 0.8313 3.6437
Pt 6.1060 -0.6352 7.0650
Pt 2.4285 -0.3601 -0.5598
```

## Properties
Energy of formation from the pure elements   -0.74 eV per atom
Space-group type   No. 115
N(E_F)   1.330 states/eV per atom

***

(10)
The following is a DFT calculation (PBE) of a geometry-optimized Ce2HgGe3Pt4 structure.

```
10
Lattice="4.2206 0.0000 0.0000 0.0000 4.2206 0.0000 0.0000 0.0000 11.2260" Properties=species:S:1:pos:R:3 pbc="T T T"
Ce 2.1103 0.0000 2.7587
Ce 0.0000 2.1103 8.4673
Hg 2.1103 2.1103 5.6130
Ge 0.0000 0.0000 5.6130
Ge 2.1103 0.0000 9.8307
Ge 0.0000 2.1103 1.3953
Pt 2.1103 2.1103 0.0000
Pt 0.0000 0.0000 0.0000
Pt 2.1103 0.0000 7.4176
Pt 0.0000 2.1103 3.8084
```

## Properties
Energy of formation from the pure elements   -0.76 eV per atom
Space-group type   No. 115
N(E_F)   1.452 states/eV per atom

***

(11)
The following is a DFT calculation (PBE) of a geometry-optimized CePuHgGe structure.

```
4
Lattice="3.8448 0.0000 0.0000 0.0000 3.8448 0.0000 0.0000 0.0000 6.7155" Properties=species:S:1:pos:R:3 pbc="T T T"
Ce 1.9224 1.9224 3.7862
Pu 1.9224 1.9224 1.0078
Hg 0.0000 0.0000 5.7941
Ge 0.0000 0.0000 2.3592
```

## Properties
Energy of formation from the pure elements   -0.42 eV per atom
Space-group type   No. 99
Distance to the lowest polymorph of the same formula   0.000 eV/atom
N(E_F)   2.417 states/eV per atom

***

(12)
The following is a DFT calculation (PBE) of a geometry-optimized CePuHgGe structure.

```
4
Lattice="-2.7308 -2.7282 3.5473 2.3188 -3.8516 2.6967 0.9967 0.6104 5.1105" Properties=species:S:1:pos:R:3 pbc="T T T"
Ge 0.1462 -1.4923 2.8386
Hg 0.4385 -4.4770 8.5159
Ce 0.2923 -2.9847 5.6773
Pu 0.0000 0.0000 0.0000
```

## Properties
Energy of formation from the pure elements   -0.34 eV per atom
Space-group type   No. 216
Distance to the lowest polymorph of the same formula   0.080 eV/atom
N(E_F)   3.621 states/eV per atom